VASP calculation (GGA-PBEsol) on crystalline Mg2TlMo at its relaxed geometry.

Lattice parameters (Å, degrees): 3.057 4.132 6.026 90.00 90.00 90.00
Sites, in units of the cell vectors:
Mg: 0.000 0.000 0.000
Mg: 0.500 0.500 0.260
Tl: 0.500 0.500 0.735
Mo: 0.000 0.000 0.484

Output
Fermi-level density of states	3.024	states/eV/f.u.
energy	-4.06	eV per atom
total magnetization	0.00	μB/cell
ΔE to the lowest computed polymorph	0	meV/atom
ΔE_f	395.1	meV/atom